Here is LiSmTl3 after structural relaxation from the Alexandria database. Energies are from GGA-PBE.

* DFT formation energy: -0.14 eV per atom
* energy above the lowest structure with this stoichiometry: 0.000 eV per atom

Unit cell a=12.515 b=12.515 c=4.757 alpha=100.52 beta=100.52 gamma=21.03
Atoms (fractional coordinates):
Li 0.142 0.142 0.392
Li 0.858 0.858 0.608
Sm 0.427 0.427 0.181
Sm 0.573 0.573 0.819
Tl 0.037 0.037 0.285
Tl 0.196 0.196 0.945
Tl 0.299 0.299 0.550
Tl 0.701 0.701 0.450
Tl 0.804 0.804 0.055
Tl 0.963 0.963 0.715

Here is Pr3P2RuN6 after structural relaxation from the Alexandria database. Energies are from GGA-PBE.

* ΔE_f (raw): -0.748 eV/atom

Unit cell a=5.534 b=5.534 c=6.339 alpha=90.00 beta=90.00 gamma=120.00
Atoms (fractional coordinates):
Pr 0.000 0.000 0.000
Pr 0.333 0.667 0.656
Pr 0.667 0.333 0.344
P 0.333 0.667 0.190
P 0.667 0.333 0.810
Ru 0.000 0.000 0.500
N 0.174 0.347 0.295
N 0.174 0.826 0.295
N 0.347 0.174 0.705
N 0.653 0.826 0.295
N 0.826 0.174 0.705
N 0.826 0.653 0.705

Here is VCr2SbPt after structural relaxation from the Alexandria database. Energies are from GGA-PBE.

* ΔE_f (raw): 0.830 eV/atom

Unit cell a=4.463 b=4.463 c=4.766 alpha=90.00 beta=90.00 gamma=90.00
Atoms (fractional coordinates):
V 0.000 0.000 0.000
Cr 0.000 0.500 0.000
Cr 0.500 0.000 0.000
Sb 0.500 0.500 0.500
Pt 0.000 0.000 0.500

Here is MgBrN2 after structural relaxation from the Alexandria database. Energies are from GGA-PBE.

* energy above the lowest structure with this stoichiometry: 0.726 eV per atom
* ΔE_f (raw): 1.597 eV/atom

Unit cell a=6.448 b=6.448 c=6.448 alpha=30.74 beta=30.74 gamma=30.74
Atoms (fractional coordinates):
Mg 0.000 0.000 0.000
Br 0.500 0.500 0.500
N 0.109 0.109 0.109
N 0.891 0.891 0.891

Here is TaMo after structural relaxation from the Alexandria database. Energies are from GGA-PBE.

* DFT formation energy: 0.26 eV per atom

Unit cell a=3.094 b=3.094 c=8.422 alpha=90.00 beta=90.00 gamma=120.00
Atoms (fractional coordinates):
Ta 0.000 0.000 0.000
Ta 0.000 0.000 0.500
Mo 0.333 0.667 0.250
Mo 0.667 0.333 0.750

Here is Mg5In after structural relaxation from the Alexandria database. Energies are from GGA-PBE.

* DFT formation energy: -0.04 eV per atom

Unit cell a=6.154 b=6.154 c=6.154 alpha=52.93 beta=52.93 gamma=52.93
Atoms (fractional coordinates):
Mg 0.000 0.666 0.334
Mg 0.168 0.168 0.168
Mg 0.334 0.000 0.666
Mg 0.666 0.334 0.000
Mg 0.832 0.832 0.832
In 0.500 0.500 0.500

Here is ZrVRh after structural relaxation from the Alexandria database. Energies are from GGA-PBE.

* DFT formation energy: -0.14 eV per atom
* energy above the lowest structure with this stoichiometry: 0.000 eV per atom

Unit cell a=4.434 b=4.434 c=2.904 alpha=90.00 beta=90.00 gamma=120.00
Atoms (fractional coordinates):
Zr 0.000 0.000 0.000
V 0.333 0.667 0.630
Rh 0.667 0.333 0.367

Here is AcZnGe2Au after structural relaxation from the Alexandria database. Energies are from GGA-PBE.

* DFT formation energy: -0.53 eV per atom

Unit cell a=6.223 b=6.223 c=6.223 alpha=137.36 beta=137.36 gamma=61.89
Atoms (fractional coordinates):
Ac 0.000 0.000 0.000
Zn 0.750 0.250 0.500
Ge 0.380 0.380 0.000
Ge 0.620 0.620 0.000
Au 0.250 0.750 0.500